No. 1
# LuAlHg

An optimized crystal structure of LuAlHg (PBE, the Alexandria database).

## Properties
ΔE_f ... -64 kJ/mol of formula units
D(E_F) ... 0.611 states/eV/atom
Symmetry ... I4mm (107)

Cell lengths 3.390, 3.390, 6.205 Å; angles 105.85, 105.85, 90.00 degrees
Element x y z (fractional)
1 Lu 0.620 0.620 0.240
2 Hg 0.939 0.939 0.878
3 Al 0.291 0.291 0.581

No. 2
# LuAl2Hg

An optimized crystal structure of LuAl2Hg (PBE, the Alexandria database).

## Properties
ΔE_f ... -39 kJ/mol of formula units
D(E_F) ... 0.456 states/eV/atom
Symmetry ... R-3m (166)

Cell lengths 4.436, 4.436, 5.666 Å; angles 66.95, 66.95, 60.00 degrees
Element x y z (fractional)
1 Lu 0.000 0.000 0.000
2 Hg 0.500 0.500 0.500
3 Al 0.777 0.777 0.668
4 Al 0.223 0.223 0.332

No. 3
# LuAlHg

An optimized crystal structure of LuAlHg (PBE, the Alexandria database).

## Properties
ΔE_f ... -86 kJ/mol of formula units
D(E_F) ... 0.247 states/eV/atom
Symmetry ... F-43m (216)

Cell lengths 4.675, 4.675, 4.675 Å; angles 60.00, 60.00, 60.00 degrees
Element x y z (fractional)
1 Lu 0.500 0.500 0.500
2 Hg 0.250 0.250 0.250
3 Al 0.000 0.000 0.000

No. 4
# SmLuAlHg

An optimized crystal structure of SmLuAlHg (PBE, the Alexandria database).

## Properties
ΔE_f ... -146 kJ/mol of formula units
D(E_F) ... 1.053 states/eV/atom
Symmetry ... F-43m (216)

Cell lengths 5.213, 5.213, 5.213 Å; angles 60.00, 60.00, 60.00 degrees
Element x y z (fractional)
1 Lu 0.000 0.000 0.000
2 Hg 0.750 0.750 0.750
3 Sm 0.500 0.500 0.500
4 Al 0.250 0.250 0.250

No. 5
# SrLuAlHg

An optimized crystal structure of SrLuAlHg (PBE, the Alexandria database).

## Properties
ΔE_f ... -104 kJ/mol of formula units
D(E_F) ... 0.661 states/eV/atom
Symmetry ... F-43m (216)

Cell lengths 5.352, 5.352, 5.352 Å; angles 60.00, 60.00, 60.00 degrees
Element x y z (fractional)
1 Sr 0.000 0.000 0.000
2 Lu 0.500 0.500 0.500
3 Hg 0.250 0.250 0.250
4 Al 0.750 0.750 0.750

No. 6
# LuThAlHg

An optimized crystal structure of LuThAlHg (PBE, the Alexandria database).

## Properties
ΔE_f ... -107 kJ/mol of formula units
D(E_F) ... 0.448 states/eV/atom
Symmetry ... F-43m (216)

Cell lengths 5.240, 5.240, 5.240 Å; angles 60.00, 60.00, 60.00 degrees
Element x y z (fractional)
1 Lu 0.000 0.000 0.000
2 Hg 0.750 0.750 0.750
3 Th 0.500 0.500 0.500
4 Al 0.250 0.250 0.250